A plane-wave DFT calculation with GGA-PBE was carried out for crystalline ZnBr at its relaxed geometry.

Cell lengths 4.549, 4.549, 4.549 Å; angles 60.00, 60.00, 60.00 degrees
Sites, in units of the cell vectors:
Br (0.000, 0.000, 0.000)
Zn (0.250, 0.250, 0.250)

total energy	-3.1	eV/f.u.
SG	F-43m (216)

=====

A plane-wave DFT calculation with GGA-PBE was carried out for crystalline DyLuNO at its relaxed geometry.

Cell lengths 4.329, 4.329, 7.853 Å; angles 90.00, 90.00, 90.00 degrees
Sites, in units of the cell vectors:
Dy (0.000, 0.500, 0.099)
Dy (0.500, 0.000, 0.901)
Lu (0.000, 0.000, 0.500)
Lu (0.500, 0.500, 0.500)
N (0.500, 0.000, 0.434)
N (0.000, 0.500, 0.566)
O (0.000, 0.000, 0.000)
O (0.500, 0.500, 0.000)

spin magnetization	0.0	μB per cell
energy above the most stable polymorph in this dataset	0.437	eV/atom
SG	P4/nmm (129)

=====

A plane-wave DFT calculation with GGA-PBE was carried out for crystalline HoErPt at its relaxed geometry.

Cell lengths 7.094, 4.733, 8.691 Å; angles 90.00, 90.00, 90.00 degrees
Sites, in units of the cell vectors:
Er (0.645, 0.250, 0.079)
Er (0.145, 0.250, 0.421)
Er (0.855, 0.750, 0.579)
Er (0.355, 0.750, 0.921)
Ho (0.989, 0.750, 0.169)
Ho (0.489, 0.750, 0.331)
Ho (0.511, 0.250, 0.669)
Ho (0.011, 0.250, 0.831)
Pt (0.243, 0.250, 0.094)
Pt (0.743, 0.250, 0.406)
Pt (0.257, 0.750, 0.594)
Pt (0.757, 0.750, 0.906)

spin magnetization	0.0	μB per cell
formation energy	-0.978	eV per atom
energy above the most stable polymorph in this dataset	0.000	eV/atom
SG	Pnma (62)